Compound: Ga4C
Source: the Alexandria database
Functional: GGA-PBE
Structure: relaxed

abc: 4.3841 4.3841 4.3841
angles: 90.00 90.00 90.00
Space group Pm-3m (No. 221)
Unique sites:
Ga  0.0000  0.0000  0.0000
Ga  0.0000  0.5000  0.5000
C  0.5000  0.5000  0.5000

Calculated values
- ρ (g/cm3) = 5.73
- raw total energy (eV/cell) = -18.09
- magnetic moment (μB/cell) = 0.00
- energy of formation from the pure elements (meV per atom) = 648
- D(E_F) (states/eV/atom) = 0.464